Entry 1:
Computed, not measured: a relaxed Co2Ge2AsP3 crystal at the PBE level of DFT.

Geometry as CIF:
```
data_Co2Ge2AsP3
_chemical_formula_sum 'Co4 Ge4 As2 P6'
_space_group_name_H-M_alt 'C 1 2 1'
_space_group_IT_number 5
_space_group_name_Hall 'C 2y'
_cell_length_a 11.895
_cell_length_b 5.209
_cell_length_c 5.323
_cell_angle_alpha 90.00
_cell_angle_beta 116.05
_cell_angle_gamma 90.00
loop_
_atom_site_label
_atom_site_fract_x
_atom_site_fract_y
_atom_site_fract_z
Co1 0.132 0.000 0.370
Ge1 0.128 0.520 0.885
As1 0.000 0.214 0.500
P1 0.000 0.809 0.000
P2 0.250 0.263 0.284
```

=====

Entry 2:
Computed, not measured: a relaxed YErCSe crystal at the PBE level of DFT.

Geometry as CIF:
```
data_YErCSe
_chemical_formula_sum 'Y2 Er2 C2 Se2'
_space_group_name_H-M_alt 'P 63 m c'
_space_group_IT_number 186
_space_group_name_Hall 'P 6c -2c'
_cell_length_a 3.7437
_cell_length_b 3.7437
_cell_length_c 13.2083
_cell_angle_alpha 90.00
_cell_angle_beta 90.00
_cell_angle_gamma 120.00
loop_
_atom_site_label
_atom_site_fract_x
_atom_site_fract_y
_atom_site_fract_z
Y1 0.3333 0.6667 0.0000
Er1 0.3333 0.6667 0.2999
C1 0.0000 0.0000 0.3984
Se1 0.3333 0.6667 0.6514
```

=====

Entry 3:
Computed, not measured: a relaxed CsSnHg3Se4 crystal at the PBE level of DFT.

Geometry as CIF:
```
data_CsSnHg3Se4
_chemical_formula_sum 'Cs2 Sn2 Hg6 Se8'
_space_group_name_H-M_alt 'P 1 21/m 1'
_space_group_IT_number 11
_space_group_name_Hall '-P 2yb'
_cell_length_a 7.438
_cell_length_b 8.138
_cell_length_c 10.517
_cell_angle_alpha 90.00
_cell_angle_beta 101.23
_cell_angle_gamma 90.00
loop_
_atom_site_label
_atom_site_fract_x
_atom_site_fract_y
_atom_site_fract_z
Cs1 0.222 0.250 0.120
Sn1 0.045 0.750 0.306
Hg1 0.248 0.548 0.517
Hg2 0.456 0.250 0.750
Se1 0.196 0.008 0.768
Se2 0.216 0.750 0.114
Se3 0.418 0.250 0.475
```

=====

no.,total energy (eV for the cell shown)
1,-90.19
2,-56.81
3,-46.07